Entry from the Alexandria database: a relaxed Sr2NiHgH6 crystal (PBE).

a = 4.822 Å, b = 4.822 Å, c = 7.429 Å
α = 90.00°, β = 90.00°, γ = 120.00°
Element x y z (fractional)
1 Sr 0.333 0.667 0.298
2 Sr 0.667 0.333 0.702
3 Ni 0.000 0.000 0.500
4 Hg 0.000 0.000 0.000
5 H 0.157 0.314 0.617
6 H 0.157 0.843 0.617
7 H 0.314 0.157 0.383
8 H 0.686 0.843 0.617
9 H 0.843 0.157 0.383
10 H 0.843 0.686 0.383

- Final energy: -3.30 eV per atom
- Total moment: 0.0 μB/f.u.